Compound: Zr4Br
Source: Alexandria
Functional: PBE-GGA
Structure: relaxed Values from VASP.

Results
energy above the most stable polymorph in this dataset = 0 meV/atom
uncorrected formation energy = -6 kJ/mol of formula units
volume = 23.054 A^3/atom
E_tot = -7.19 eV/atom

Cell and atoms, written as Quantum ESPRESSO input:
```
&SYSTEM
  ibrav = 0, nat = 5, ntyp = 2
/
ATOMIC_SPECIES
Zr 91.22 Zr.upf
Br 79.90 Br.upf
CELL_PARAMETERS angstrom
-4.203 4.203 1.631
4.203 -4.203 1.631
4.203 4.203 -1.631
ATOMIC_POSITIONS angstrom
Zr -0.631 2.483 1.631
Br 0.000 0.000 0.000
Zr 1.720 3.572 0.000
Zr 2.483 0.631 1.631
Zr 4.834 1.720 0.000
```